First-principles (PBE) data for CaHfB2 after structural relaxation, as listed in Alexandria via LeMat-Bulk.

The structure belongs to space group I-42d (No. 122); the cell edges are 4.8787, 4.8787 and 14.1522 Å and the angles 90.00°, 90.00° and 90.00°. Symmetry generates all atoms from Ca at (0.0000, 0.0000, 0.0000), Hf at (0.0000, 0.0000, 0.5000) and B at (0.1562, 0.2500, 0.6250).

The energy comes out at -5.4987 eV per atom. As for the total moment: 0.000 μB/atom. The calculation puts the formation energy at 829 meV/atom.

First-principles (PBE) data for Co2AuSe after structural relaxation, as listed in Alexandria via LeMat-Bulk.

The structure belongs to space group I-4m2 (No. 119); the cell edges are 3.7931, 3.7931 and 8.2388 Å and the angles 90.00°, 90.00° and 90.00°. Symmetry generates all atoms from Co at (0.0000, 0.0000, 0.0000), Co at (0.0000, 0.5000, 0.2500), Au at (0.0000, 0.0000, 0.5000) and Se at (0.0000, 0.5000, 0.7500).

The energy comes out at -4.8030 eV per atom. As for the total moment: 0.856 μB/atom. For the formation energy from raw total energies, the calculation gives 440 meV/atom.

First-principles (PBE) data for Tb3PmSm2Tm6 after structural relaxation, as listed in Alexandria via LeMat-Bulk.

The structure belongs to space group C2/m (No. 12); the cell edges are 6.1464, 10.6383 and 11.6667 Å and the angles 90.00°, 100.08° and 90.00°. Symmetry generates all atoms from Tb at (0.0000, 0.0000, 0.0000), Tb at (0.0000, 0.3333, 0.0000), Pm at (0.0000, 0.5000, 0.5000), Sm at (0.0000, 0.1666, 0.5000), Tm at (0.2487, 0.1667, 0.2481) and Tm at (0.2488, 0.5000, 0.2481).

The energy comes out at -4.5560 eV per atom. As for the total moment: 0.000 μB/atom. The calculation puts the formation energy at 20 meV/atom.